# SrNdMn2O6 PBE+U optimized geometry
data_SrNdMn2O6
_symmetry_space_group_name_H-M 'I -4 2 m'
_symmetry_Int_Tables_number 121
_symmetry_space_group_name_Hall 'I -4 2'
_cell_length_a 5.432
_cell_length_b 5.432
_cell_length_c 8.013
_cell_angle_alpha 90.00
_cell_angle_beta 90.00
_cell_angle_gamma 90.00
loop_
_atom_site_label
_atom_site_type_symbol
_atom_site_fract_x
_atom_site_fract_y
_atom_site_fract_z
_atom_site_occupancy
Sr1 Sr 0.000 0.000 0.000 1
Nd1 Nd 0.000 0.000 0.500 1
Mn1 Mn 0.000 0.500 0.250 1
O1 O 0.000 0.500 0.000 1
O2 O 0.199 0.199 0.262 1
# V (Å³/atom): 11.82
# Raw total energy (eV per atom): -7.42